## i
The following is a PBE calculation of a geometry-optimized LiTmHgS3 structure, from OQMD via LeMat-Bulk.

Geometry as CIF:
```
data_LiTmHgS3
_space_group_name_H-M_alt 'C m c m'
_space_group_IT_number 63
_space_group_name_Hall '-C 2c 2'
_cell_length_a 4.045
_cell_length_b 14.250
_cell_length_c 10.346
_cell_angle_alpha 90.00
_cell_angle_beta 90.00
_cell_angle_gamma 90.00
loop_
_atom_site_label
_atom_site_type_symbol
_atom_site_fract_x
_atom_site_fract_y
_atom_site_fract_z
_atom_site_occupancy
Li1 Li 0.000 0.134 0.250 1
Tm1 Tm 0.000 0.500 0.000 1
Hg1 Hg 0.000 0.130 0.750 1
S1 S 0.000 0.130 0.521 1
S2 S 0.000 0.453 0.750 1
```

## Properties
Total magnetic moment (μB per formula unit): 0.0

---

## ii
The following is a PBE calculation of a geometry-optimized LiTmHgS3 structure, from OQMD via LeMat-Bulk.

Geometry as CIF:
```
data_LiTmHgS3
_space_group_name_H-M_alt 'P n m a'
_space_group_IT_number 62
_space_group_name_Hall '-P 2ac 2n'
_cell_length_a 12.309
_cell_length_b 3.850
_cell_length_c 11.143
_cell_angle_alpha 90.00
_cell_angle_beta 90.00
_cell_angle_gamma 90.00
loop_
_atom_site_label
_atom_site_type_symbol
_atom_site_fract_x
_atom_site_fract_y
_atom_site_fract_z
_atom_site_occupancy
Li1 Li 0.113 0.250 0.017 1
Tm1 Tm 0.058 0.250 0.673 1
Hg1 Hg 0.228 0.250 0.291 1
S1 S 0.067 0.750 0.852 1
S2 S 0.068 0.250 0.419 1
S3 S 0.231 0.750 0.129 1
```

## Properties
Total magnetic moment (μB per formula unit): 0.0

---

Which of them is the most stable? Correct choice: i.

---

## i
The following is a PBE calculation of a geometry-optimized LiScHg2 structure, from OQMD via LeMat-Bulk.

Geometry as CIF:
```
data_LiScHg2
_space_group_name_H-M_alt 'F -4 3 m'
_space_group_IT_number 216
_space_group_name_Hall 'F -4 2 3'
_cell_length_a 6.772
_cell_length_b 6.772
_cell_length_c 6.772
_cell_angle_alpha 90.00
_cell_angle_beta 90.00
_cell_angle_gamma 90.00
loop_
_atom_site_label
_atom_site_type_symbol
_atom_site_fract_x
_atom_site_fract_y
_atom_site_fract_z
_atom_site_occupancy
Li1 Li 0.000 0.000 0.000 1
Sc1 Sc 0.250 0.250 0.250 1
Hg1 Hg 0.000 0.000 0.500 1
Hg2 Hg 0.250 0.250 0.750 1
```

## Properties
Total magnetic moment (μB per formula unit): 0.0

---

## ii
The following is a PBE calculation of a geometry-optimized LiScHg2 structure, from OQMD via LeMat-Bulk.

Geometry as CIF:
```
data_LiScHg2
_space_group_name_H-M_alt 'P 63/m m c'
_space_group_IT_number 194
_space_group_name_Hall '-P 6c 2c'
_cell_length_a 4.8439
_cell_length_b 4.8439
_cell_length_c 8.5436
_cell_angle_alpha 90.00
_cell_angle_beta 90.00
_cell_angle_gamma 120.00
loop_
_atom_site_label
_atom_site_type_symbol
_atom_site_fract_x
_atom_site_fract_y
_atom_site_fract_z
_atom_site_occupancy
Li1 Li 0.0000 0.0000 0.2500 1
Sc1 Sc 0.3333 0.6667 0.2500 1
Hg1 Hg 0.3333 0.6667 0.5826 1
```

## Properties
Total magnetic moment (μB per formula unit): 0.0

---

Which of them is the most stable? Correct choice: i.